Here is a geometry-optimized Li3TlPd structure from Alexandria via LeMat-Bulk. Energies are from PBE.

- E_tot (eV/atom) = -2.97
- total magnetization (μB/atom) = 0.000
- formation energy (eV per formula unit) = -1.53
- energy above the lowest structure with this stoichiometry (meV/atom) = 0.0

a b c (Å): 4.0737 4.9205 9.2778
angles (deg): 88.21 89.98 65.79
Space group P-1 (No. 2)
Inequivalent atoms, fractional coordinates:
Li 0.1375 0.2250 0.0422 [2 per cell]
Li 0.2605 0.9810 0.7792 [2 per cell]
Li 0.3484 0.8018 0.4364 [2 per cell]
Tl 0.0453 0.4073 0.3323 [2 per cell]
Pd 0.4359 0.6260 0.1386 [2 per cell]